The following is a DFT calculation (GGA-PBE) of an optimized crystal structure of HoMg.

Cell lengths 5.928, 6.829, 5.434 Å; angles 90.00, 90.00, 90.00 degrees
Positions (direct):
Ho1 0.992 0.000 0.000
Ho2 0.341 0.000 0.500
Ho3 0.832 0.250 0.500
Ho4 0.832 0.750 0.500
Mg1 0.501 0.254 0.000
Mg2 0.009 0.500 0.000
Mg3 0.501 0.746 0.000
Mg4 0.327 0.500 0.500

Output
Its volume is 220.0 Å³/cell. Its total energy is -3.019 eV per atom. Its magnetization is 0.02 μB/f.u. As for the space group: Pmm2.